[1]
This record from the Alexandria database describes a geometry-optimized Pm2ICl structure. The functional is PBE.

The space group is R3m (No. 160, hexagonal axes) and the conventional cell measures 3.7312, 3.7312 and 27.8974 Å, with angles of 90.00, 90.00 and 120.00 degrees. The asymmetric unit holds Pm at (0.0000, 0.0000, 0.0000), Pm at (0.0000, 0.0000, 0.1536), I at (0.0000, 0.0000, 0.5769) and Cl at (0.0000, 0.0000, 0.7431).

The density of states at the Fermi level comes out at 0.499 states/eV/atom. As for the uncorrected formation energy: -1.06 eV/atom. Its magnetic moment is 0.0 μB/f.u.

=====

[2]
This record from the Alexandria database describes a geometry-optimized Pm6Pt2I3Cl structure. The functional is PBE.

The space group is C2/m (No. 12) and the conventional cell measures 7.5503, 13.0397 and 8.1609 Å, with angles of 90.00, 107.78 and 90.00 degrees. The asymmetric unit holds Pm at (0.2005, 0.0000, 0.1888), Pm at (0.2455, 0.3186, 0.1914), Pt at (0.0000, 0.1673, 0.0000), I at (0.0000, 0.0000, 0.5000), I at (0.0000, 0.3395, 0.5000) and Cl at (0.0000, 0.5000, 0.0000).

The density of states at the Fermi level comes out at 0.599 states/eV/atom. As for the uncorrected formation energy: -1.12 eV/atom. Its magnetic moment is 0.0 μB/f.u.

=====

[3]
This record from the Alexandria database describes a geometry-optimized Pm3RhICl structure. The functional is PBE.

The space group is P2_1/m (No. 11) and the conventional cell measures 9.2745, 4.0956 and 9.8197 Å, with angles of 90.00, 97.81 and 90.00 degrees. The asymmetric unit holds Pm at (0.1123, 0.2500, 0.3060), Pm at (0.1497, 0.2500, 0.9165), Pm at (0.2736, 0.7500, 0.6153), Rh at (0.0655, 0.2500, 0.6145), I at (0.4120, 0.7500, 0.3224) and Cl at (0.3595, 0.7500, 0.9054).

The density of states at the Fermi level comes out at 0.689 states/eV/atom. As for the uncorrected formation energy: -1.06 eV/atom. Its magnetic moment is 0.4 μB/f.u.